## w
TbNd2Er7: optimized geometry, PBE-GGA. Values from VASP.

## Properties
**Crystal system**: triclinic

Geometry as Quantum ESPRESSO input:
```
&SYSTEM
  ibrav = 0, nat = 10, ntyp = 3
/
ATOMIC_SPECIES
Tb 158.93 Tb.upf
Nd 144.24 Nd.upf
Er 167.26 Er.upf
CELL_PARAMETERS angstrom
-3.0462 3.1309 -4.3183
-6.1433 -3.2301 -3.8492
-4.9924 4.6957 4.0044
ATOMIC_POSITIONS crystal
Tb 0.0000 0.0000 0.0000
Nd 0.5003 0.7012 0.6011
Nd 0.4997 0.2988 0.3989
Er 0.0008 0.7998 0.3986
Er 0.9992 0.2002 0.6014
Er 0.9996 0.6005 0.8018
Er 0.0004 0.3995 0.1982
Er 0.5004 0.8989 0.1975
Er 0.4996 0.1011 0.8025
Er 0.5000 0.5000 0.0000
```



## x
TbNd2Er7: optimized geometry, PBE-GGA. Values from VASP.

## Properties
**Crystal system**: orthorhombic

Geometry as Quantum ESPRESSO input:
```
&SYSTEM
  ibrav = 0, nat = 10, ntyp = 3
/
ATOMIC_SPECIES
Tb 158.93 Tb.upf
Nd 144.24 Nd.upf
Er 167.26 Er.upf
CELL_PARAMETERS angstrom
-1.8327 2.9889 0.0458
-8.1517 -4.8256 -11.2597
3.2870 1.7972 14.2297
ATOMIC_POSITIONS crystal
Tb 0.0000 0.0000 0.0000
Nd 0.5000 0.7082 0.2918
Nd 0.5000 0.2918 0.7082
Er 0.0000 0.8159 0.1841
Er 0.0000 0.1841 0.8159
Er 0.5000 0.1485 0.3441
Er 0.5000 0.8515 0.6559
Er 0.5000 0.3441 0.1485
Er 0.5000 0.6559 0.8515
Er 0.5000 0.5000 0.5000
```



Name the most stable of them. w.



## w
Tb5Nd3Er2: optimized geometry, PBE-GGA. Values from VASP.

## Properties
**Crystal system**: monoclinic

Geometry as Quantum ESPRESSO input:
```
&SYSTEM
  ibrav = 0, nat = 20, ntyp = 3
/
ATOMIC_SPECIES
Tb 158.93 Tb.upf
Nd 144.24 Nd.upf
Er 167.26 Er.upf
CELL_PARAMETERS angstrom
1.3693 -9.4062 0.1421
7.1614 -2.2731 5.7531
-9.3587 5.1900 3.1359
ATOMIC_POSITIONS crystal
Tb 0.2721 0.5221 0.0442
Tb 0.7279 0.4779 0.9558
Tb 0.0266 0.7766 0.5533
Tb 0.5311 0.2811 0.5622
Tb 0.9734 0.2234 0.4467
Tb 0.4689 0.7189 0.4378
Tb 0.8479 0.6018 0.7251
Tb 0.1521 0.3982 0.2749
Tb 0.3772 0.1234 0.7251
Tb 0.6228 0.8766 0.2749
Nd 0.2337 0.9837 0.9675
Nd 0.7663 0.0163 0.0325
Nd 0.7331 0.4729 0.2512
Nd 0.2669 0.5271 0.7488
Nd 0.0181 0.7783 0.2512
Nd 0.9819 0.2217 0.7488
Er 0.7705 0.0097 0.7339
Er 0.2295 0.9903 0.2661
Er 0.4634 0.7241 0.7339
Er 0.5366 0.2759 0.2661
```



## x
Tb5Nd3Er2: optimized geometry, PBE-GGA. Values from VASP.

## Properties
**Crystal system**: orthorhombic

Geometry as Quantum ESPRESSO input:
```
&SYSTEM
  ibrav = 0, nat = 20, ntyp = 3
/
ATOMIC_SPECIES
Tb 158.93 Tb.upf
Nd 144.24 Nd.upf
Er 167.26 Er.upf
CELL_PARAMETERS angstrom
-3.9369 1.3466 4.9004
-9.3124 -5.5518 -1.7391
4.0963 -4.9938 8.8798
ATOMIC_POSITIONS crystal
Tb 0.2500 0.5000 0.5000
Tb 0.7500 0.5000 0.5000
Tb 0.5020 0.7480 0.7480
Tb 0.9980 0.2520 0.2520
Tb 0.4980 0.2520 0.2520
Tb 0.0020 0.7480 0.7480
Tb 0.2634 0.4042 0.0691
Tb 0.7366 0.5958 0.9309
Tb 0.7634 0.0691 0.4042
Tb 0.2366 0.9309 0.5958
Nd 0.2500 0.0000 0.0000
Nd 0.7500 0.0000 0.0000
Nd 0.4120 0.4199 0.7561
Nd 0.5880 0.5801 0.2439
Nd 0.9120 0.7561 0.4199
Nd 0.0880 0.2439 0.5801
Er 0.0949 0.7366 0.0736
Er 0.9051 0.2634 0.9264
Er 0.5949 0.0736 0.7366
Er 0.4051 0.9264 0.2634
```



Name the most stable of them. w.



## w
Tb2Nd5Er3: optimized geometry, PBE-GGA. Values from VASP.

## Properties
**Crystal system**: orthorhombic

Geometry as Quantum ESPRESSO input:
```
&SYSTEM
  ibrav = 0, nat = 20, ntyp = 3
/
ATOMIC_SPECIES
Tb 158.93 Tb.upf
Nd 144.24 Nd.upf
Er 167.26 Er.upf
CELL_PARAMETERS angstrom
-10.0827 -3.3427 -2.7345
-1.9578 -8.9958 -3.7837
-4.9636 -7.0697 4.9452
ATOMIC_POSITIONS crystal
Tb 0.1193 0.7905 0.9709
Tb 0.8807 0.2095 0.0291
Tb 0.6193 0.9709 0.7905
Tb 0.3807 0.0291 0.2095
Nd 0.2500 0.5000 0.5000
Nd 0.7500 0.5000 0.5000
Nd 0.4966 0.7534 0.7534
Nd 0.0034 0.2466 0.2466
Nd 0.5034 0.2466 0.2466
Nd 0.9966 0.7534 0.7534
Nd 0.1284 0.4740 0.2692
Nd 0.8716 0.5260 0.7308
Nd 0.6284 0.2692 0.4740
Nd 0.3716 0.7308 0.5260
Er 0.2500 0.0000 0.0000
Er 0.7500 0.0000 0.0000
Er 0.3762 0.3743 0.8733
Er 0.6238 0.6257 0.1267
Er 0.8762 0.8733 0.3743
Er 0.1238 0.1267 0.6257
```



## x
Tb2Nd5Er3: optimized geometry, PBE-GGA. Values from VASP.

## Properties
**Crystal system**: monoclinic

Geometry as Quantum ESPRESSO input:
```
&SYSTEM
  ibrav = 0, nat = 20, ntyp = 3
/
ATOMIC_SPECIES
Tb 158.93 Tb.upf
Nd 144.24 Nd.upf
Er 167.26 Er.upf
CELL_PARAMETERS angstrom
9.4500 -2.0700 -2.6465
-3.3737 9.0123 -2.8338
-0.6043 -0.5467 9.1431
ATOMIC_POSITIONS crystal
Tb 0.9757 0.0328 0.7571
Tb 0.0243 0.9672 0.2429
Tb 0.2815 0.7243 0.7571
Tb 0.7185 0.2757 0.2429
Nd 0.2287 0.4787 0.9574
Nd 0.7713 0.5213 0.0426
Nd 0.9805 0.7305 0.4610
Nd 0.4789 0.2289 0.4578
Nd 0.0195 0.2695 0.5390
Nd 0.5211 0.7711 0.5422
Nd 0.8780 0.6319 0.7592
Nd 0.1220 0.3681 0.2408
Nd 0.3812 0.1273 0.7592
Nd 0.6188 0.8727 0.2408
Er 0.2724 0.0224 0.0449
Er 0.7276 0.9776 0.9551
Er 0.5276 0.4703 0.2486
Er 0.4724 0.5297 0.7514
Er 0.2210 0.7783 0.2486
Er 0.7790 0.2217 0.7514
```



Name the most stable of them. x.



## w
TbNd4Er5: optimized geometry, PBE-GGA. Values from VASP.

## Properties
**Crystal system**: monoclinic

Geometry as Quantum ESPRESSO input:
```
&SYSTEM
  ibrav = 0, nat = 10, ntyp = 3
/
ATOMIC_SPECIES
Tb 158.93 Tb.upf
Nd 144.24 Nd.upf
Er 167.26 Er.upf
CELL_PARAMETERS angstrom
-0.6069 1.9192 -2.8913
6.8326 -6.7347 -5.9037
-6.3511 -5.9805 -0.4985
ATOMIC_POSITIONS crystal
Tb 0.5000 0.0000 0.0000
Nd 0.6568 0.2500 0.3154
Nd 0.9679 0.2508 0.9353
Nd 0.3432 0.7500 0.6846
Nd 0.0321 0.7492 0.0647
Er 0.1727 0.5480 0.3461
Er 0.1733 0.9504 0.3473
Er 0.8267 0.0496 0.6527
Er 0.5000 0.5000 0.0000
Er 0.8273 0.4520 0.6539
```



## x
TbNd4Er5: optimized geometry, PBE-GGA. Values from VASP.

## Properties
**Crystal system**: tetragonal

Geometry as Quantum ESPRESSO input:
```
&SYSTEM
  ibrav = 0, nat = 10, ntyp = 3
/
ATOMIC_SPECIES
Tb 158.93 Tb.upf
Nd 144.24 Nd.upf
Er 167.26 Er.upf
CELL_PARAMETERS angstrom
5.9327 0.0000 0.0000
2.9664 7.5511 0.0000
2.9664 0.0000 7.5511
ATOMIC_POSITIONS crystal
Tb 0.2100 0.0000 0.0000
Nd 0.4562 0.3236 0.6766
Nd 0.7798 0.6766 0.6764
Nd 0.1328 0.3234 0.3236
Nd 0.4564 0.6764 0.3234
Er 0.7585 0.3775 0.9999
Er 0.1360 0.9999 0.6225
Er 0.7583 0.0001 0.3775
Er 0.1359 0.6225 0.0001
Er 0.6865 0.0000 0.0000
```



Name the most stable of them. w.



## w
Tb3Nd6Er2: optimized geometry, PBE-GGA. Values from VASP.

## Properties
**Crystal system**: triclinic

Geometry as Quantum ESPRESSO input:
```
&SYSTEM
  ibrav = 0, nat = 11, ntyp = 3
/
ATOMIC_SPECIES
Tb 158.93 Tb.upf
Nd 144.24 Nd.upf
Er 167.26 Er.upf
CELL_PARAMETERS angstrom
-6.4533 -0.7973 2.3076
3.9474 -4.6122 1.0028
-3.8535 3.1432 10.9635
ATOMIC_POSITIONS crystal
Tb 0.0000 0.0000 0.0000
Tb 0.1870 0.9789 0.6336
Tb 0.8130 0.0211 0.3664
Nd 0.9230 0.5044 0.1838
Nd 0.3709 0.8959 0.2743
Nd 0.0770 0.4956 0.8162
Nd 0.6291 0.1041 0.7257
Nd 0.2727 0.4366 0.4529
Nd 0.7273 0.5634 0.5471
Er 0.5514 0.6823 0.8989
Er 0.4486 0.3177 0.1011
```



## x
Tb3Nd6Er2: optimized geometry, PBE-GGA. Values from VASP.

## Properties
**Crystal system**: tetragonal

Geometry as Quantum ESPRESSO input:
```
&SYSTEM
  ibrav = 0, nat = 11, ntyp = 3
/
ATOMIC_SPECIES
Tb 158.93 Tb.upf
Nd 144.24 Nd.upf
Er 167.26 Er.upf
CELL_PARAMETERS angstrom
4.7769 0.0000 0.0000
0.0000 4.7769 0.0000
-2.3885 -2.3885 16.9407
ATOMIC_POSITIONS crystal
Tb 0.0000 0.0000 0.0000
Tb 0.8046 0.8046 0.6091
Tb 0.1954 0.1954 0.3909
Nd 0.1197 0.6197 0.2394
Nd 0.6197 0.1197 0.2394
Nd 0.8803 0.3803 0.7606
Nd 0.3803 0.8803 0.7606
Nd 0.7034 0.7034 0.4069
Nd 0.2966 0.2966 0.5931
Er 0.4549 0.4549 0.9099
Er 0.5451 0.5451 0.0901
```



Name the most stable of them. w.



## w
Tb4Nd3Er2: optimized geometry, PBE-GGA. Values from VASP.

## Properties
**Crystal system**: triclinic

Geometry as Quantum ESPRESSO input:
```
&SYSTEM
  ibrav = 0, nat = 9, ntyp = 3
/
ATOMIC_SPECIES
Tb 158.93 Tb.upf
Nd 144.24 Nd.upf
Er 167.26 Er.upf
CELL_PARAMETERS angstrom
-5.2832 -3.0831 -1.0397
5.3171 -3.1275 0.7404
-3.2471 8.8810 8.8198
ATOMIC_POSITIONS crystal
Tb 0.6650 0.3316 0.9999
Tb 0.3350 0.6684 0.0001
Tb 0.8899 0.7794 0.6666
Tb 0.1101 0.2206 0.3334
Nd 0.5541 0.1095 0.6661
Nd 0.0000 0.0000 0.0000
Nd 0.4459 0.8905 0.3339
Er 0.7788 0.5572 0.3340
Er 0.2212 0.4428 0.6660
```



## x
Tb4Nd3Er2: optimized geometry, PBE-GGA. Values from VASP.

## Properties
**Crystal system**: monoclinic

Geometry as Quantum ESPRESSO input:
```
&SYSTEM
  ibrav = 0, nat = 18, ntyp = 3
/
ATOMIC_SPECIES
Tb 158.93 Tb.upf
Nd 144.24 Nd.upf
Er 167.26 Er.upf
CELL_PARAMETERS angstrom
5.8187 1.6054 1.1494
2.2424 11.0433 0.7254
2.2424 4.2450 10.2206
ATOMIC_POSITIONS crystal
Tb 0.4200 0.9451 0.1781
Tb 0.0800 0.8219 0.0549
Tb 0.5800 0.0549 0.8219
Tb 0.9200 0.1781 0.9451
Tb 0.0728 0.1584 0.3905
Tb 0.4272 0.6095 0.8416
Tb 0.9272 0.8416 0.6095
Tb 0.5728 0.3905 0.1584
Nd 0.7464 0.0229 0.3131
Nd 0.7536 0.6869 0.9771
Nd 0.2536 0.9771 0.6869
Nd 0.2464 0.3131 0.0229
Nd 0.2500 0.6470 0.3530
Nd 0.7500 0.3530 0.6470
Er 0.4144 0.2811 0.5095
Er 0.0856 0.4905 0.7189
Er 0.5856 0.7189 0.4905
Er 0.9144 0.5095 0.2811
```



Name the most stable of them. w.